The following is a GGA+U calculation of crystalline Na2CrMoO4 at its relaxed geometry, from Alexandria.

a = 3.1659 Å, b = 5.4959 Å, c = 5.6845 Å
α = 108.66°, β = 90.00°, γ = 90.00°
Fractional positions:
Na1 0.5000 0.0000 0.5000
O1 0.0000 0.7495 0.2043
Mo1 0.5000 0.5000 0.0000
Cr1 0.0000 0.0000 0.0000
Na2 0.0000 0.5000 0.5000
O2 0.5000 0.2207 0.1991
O3 0.0000 0.2505 0.7957
O4 0.5000 0.7793 0.8009

Crystal system: monoclinic
Raw total energy (eV/atom): -6.422